# 1
VASP calculation (PBE) on a relaxed Nb8SiGe2 crystal.

It has space group C2/m (No. 12), with a = 15.633 Å, b = 4.749 Å, c = 5.173 Å, α = 90.00°, β = 95.03° and γ = 90.00°. The inequivalent atoms are Nb at (0.041, 0.000, 0.248), Nb at (0.088, 0.500, 0.535), Nb at (0.172, 0.500, 0.086), Nb at (0.230, 0.000, 0.342), Si at (0.000, 0.500, 0.000) and Ge at (0.150, 0.000, 0.796).

As for the calculated density: 7.96 g/cm³. As for the volume: 17.4 Å³/atom. The calculation puts the raw formation energy at -249 meV per atom.

# 2
VASP calculation (PBE) on a relaxed CoTe6Ir crystal.

It has space group R-3 (No. 148, hexagonal axes), with a = 6.5219 Å, b = 6.5219 Å, c = 15.9631 Å, α = 90.00°, β = 90.00° and γ = 120.00°. The inequivalent atoms are Co at (0.0000, 0.0000, 0.0000), Te at (0.0114, 0.3154, 0.7493) and Ir at (0.0000, 0.0000, 0.5000).

As for the calculated density: 8.61 g/cm³. As for the volume: 24.5 Å³/atom. The value obtained for the energy above the lowest structure with this stoichiometry is 0 meV/atom. The calculation puts the raw formation energy at -145 meV per atom.